! GaO, optimized geometry, DFT PBE-GGA; values from VASP
&SYSTEM
  ibrav = 0, nat = 8, ntyp = 2
/
ATOMIC_SPECIES
Ga 69.72 Ga.upf
O 16.00 O.upf
CELL_PARAMETERS angstrom
3.3400 0.0000 0.0000
0.0000 4.0196 0.0000
0.0000 0.0000 8.3377
ATOMIC_POSITIONS angstrom
Ga 0.0000 0.0000 1.2251
Ga 0.0000 0.0000 7.1126
Ga 1.6700 2.0098 2.9437
Ga 1.6700 2.0098 5.3940
O 0.0000 2.0098 1.8949
O 0.0000 2.0098 6.4428
O 1.6700 0.0000 2.2739
O 1.6700 0.0000 6.0638
! * DOS at the Fermi energy: 0.00 states/eV/atom
! * total magnetic moment: 0.00 μB per atom
! * total DFT energy (no corrections): -5.523 eV/atom
! * space-group type: Immm (71)


! GaO, optimized geometry, DFT PBE-GGA; values from VASP
&SYSTEM
  ibrav = 0, nat = 16, ntyp = 2
/
ATOMIC_SPECIES
Ga 69.72 Ga.upf
O 16.00 O.upf
CELL_PARAMETERS angstrom
8.8220 0.0000 0.0000
0.0000 8.8220 0.0000
0.0000 0.0000 3.0970
ATOMIC_POSITIONS angstrom
Ga 0.5988 3.1134 0.0000
Ga 2.7231 5.3608 1.5485
Ga 3.1134 8.2231 0.0000
Ga 3.4612 2.7231 1.5485
Ga 5.3608 6.0989 1.5485
Ga 5.7085 0.5988 0.0000
Ga 6.0989 3.4612 1.5485
Ga 8.2231 5.7085 0.0000
O 1.1877 5.0320 0.0000
O 1.2101 2.3178 1.5485
O 2.3178 7.6119 1.5485
O 3.7899 1.1877 0.0000
O 5.0320 7.6342 0.0000
O 6.5042 1.2101 1.5485
O 7.6119 6.5042 1.5485
O 7.6342 3.7899 0.0000
! * DOS at the Fermi energy: 0.20 states/eV/atom
! * total magnetic moment: 0.00 μB per atom
! * total DFT energy (no corrections): -5.313 eV/atom
! * space-group type: P4/m (83)


! GaO, optimized geometry, DFT PBE-GGA; values from VASP
&SYSTEM
  ibrav = 0, nat = 12, ntyp = 2
/
ATOMIC_SPECIES
Ga 69.72 Ga.upf
O 16.00 O.upf
CELL_PARAMETERS angstrom
7.6430 0.0000 0.0000
-3.8215 6.6190 0.0000
0.0000 0.0000 3.3446
ATOMIC_POSITIONS angstrom
Ga -2.2692 4.6521 0.8361
Ga 0.9273 2.3279 0.8361
Ga 2.4796 0.3609 2.5084
Ga 1.3419 6.2582 0.8361
Ga 2.8942 4.2912 2.5084
Ga 6.0907 1.9670 2.5084
O -0.9717 2.9986 0.8361
O -0.7388 5.9613 0.8361
O 2.1110 2.3408 2.5084
O 1.7105 4.2782 0.8361
O 4.5603 0.6578 2.5084
O 4.7932 3.6205 2.5084
! * DOS at the Fermi energy: 0.49 states/eV/atom
! * total magnetic moment: 0.00 μB per atom
! * total DFT energy (no corrections): -5.049 eV/atom
! * space-group type: P6_3/m (176)


! Ga4O5, optimized geometry, DFT PBE-GGA; values from VASP
&SYSTEM
  ibrav = 0, nat = 18, ntyp = 2
/
ATOMIC_SPECIES
Ga 69.72 Ga.upf
O 16.00 O.upf
CELL_PARAMETERS angstrom
0.0000 4.8572 4.9470
4.4681 0.0000 4.9470
4.4681 4.8572 0.0000
ATOMIC_POSITIONS angstrom
Ga 4.5328 4.4380 1.9779
Ga 6.7669 5.2764 4.4514
Ga 2.1694 2.8478 1.9779
Ga 4.5328 2.8478 5.4426
Ga 4.4035 6.8666 4.4514
Ga 6.7669 6.8666 7.9162
Ga 2.1694 4.4380 5.4426
Ga 4.4035 5.2764 7.9162
O 4.9416 2.3373 3.6142
O 1.1170 1.2143 1.2368
O 7.1756 4.7659 6.2798
O 4.9416 4.9485 3.8063
O 1.7606 2.3373 3.8063
O 7.1756 7.3771 6.0878
O 3.9947 4.7659 6.0878
O 1.7606 4.9485 3.6142
O 7.8192 8.5001 8.6573
O 3.9947 7.3771 6.2798
! * DOS at the Fermi energy: 0.02 states/eV/atom
! * total magnetic moment: 0.00 μB per atom
! * total DFT energy (no corrections): -5.289 eV/atom
! * space-group type: Fddd (70)


! GaO, optimized geometry, DFT PBE-GGA; values from VASP
&SYSTEM
  ibrav = 0, nat = 8, ntyp = 2
/
ATOMIC_SPECIES
Ga 69.72 Ga.upf
O 16.00 O.upf
CELL_PARAMETERS angstrom
3.1253 0.0000 0.0000
0.0000 8.2277 0.0000
0.0000 0.0000 4.9678
ATOMIC_POSITIONS angstrom
Ga 0.0000 1.2282 0.0000
Ga 0.0000 6.9996 0.0000
Ga 1.5627 2.8857 2.4839
Ga 1.5627 5.3420 2.4839
O 0.0000 2.0728 1.7286
O 0.0000 6.1549 1.7286
O 1.5627 2.0411 4.2125
O 1.5627 6.1866 4.2125
! * DOS at the Fermi energy: 0.00 states/eV/atom
! * total magnetic moment: 0.00 μB per atom
! * total DFT energy (no corrections): -5.568 eV/atom
! * space-group type: Imm2 (44)


! Ga2O3, optimized geometry, DFT PBE-GGA; values from VASP
&SYSTEM
  ibrav = 0, nat = 10, ntyp = 2
/
ATOMIC_SPECIES
Ga 69.72 Ga.upf
O 16.00 O.upf
CELL_PARAMETERS angstrom
2.5293 1.4603 4.5407
-2.5293 1.4603 4.5407
0.0000 -2.9206 4.5407
ATOMIC_POSITIONS angstrom
Ga 0.0000 0.0000 1.9630
Ga 0.0000 0.0000 4.8481
Ga 0.0000 0.0000 8.7741
Ga 0.0000 0.0000 11.6592
O -1.7626 -0.1324 5.6759
O -0.7667 -1.5927 7.9463
O 0.9960 -1.4603 5.6759
O -0.9960 1.4603 7.9463
O 0.7667 1.5927 5.6759
O 1.7626 0.1324 7.9463
! * DOS at the Fermi energy: 0.00 states/eV/atom
! * total magnetic moment: 0.00 μB per atom
! * total DFT energy (no corrections): -6.006 eV/atom
! * space-group type: R-3c (167)


! GaO3, optimized geometry, DFT PBE-GGA; values from VASP
&SYSTEM
  ibrav = 0, nat = 16, ntyp = 2
/
ATOMIC_SPECIES
Ga 69.72 Ga.upf
O 16.00 O.upf
CELL_PARAMETERS angstrom
-3.5184 3.5184 3.5184
3.5184 -3.5184 3.5184
3.5184 3.5184 -3.5184
ATOMIC_POSITIONS angstrom
Ga 1.7592 1.7592 -1.7592
Ga 1.7592 -1.7592 1.7592
Ga -1.7592 1.7592 1.7592
Ga 1.7592 1.7592 1.7592
O 2.3331 1.0393 0.0000
O 4.7037 1.0393 0.0000
O 3.5184 -1.1853 2.4791
O 2.4791 3.5184 -1.1853
O 1.0393 0.0000 2.3331
O 0.0000 2.3331 1.0393
O 3.5184 1.1853 2.4791
O 2.4791 3.5184 1.1853
O 1.0393 0.0000 4.7037
O 0.0000 4.7037 1.0393
O -1.1853 2.4791 3.5184
O 1.1853 2.4791 3.5184
! * DOS at the Fermi energy: 0.55 states/eV/atom
! * total magnetic moment: 0.69 μB per atom
! * total DFT energy (no corrections): -4.757 eV/atom
! * space-group type: Im-3 (204)


! Ga2O3, optimized geometry, DFT PBE-GGA; values from VASP
&SYSTEM
  ibrav = 0, nat = 10, ntyp = 2
/
ATOMIC_SPECIES
Ga 69.72 Ga.upf
O 16.00 O.upf
CELL_PARAMETERS angstrom
5.7970 -1.5755 0.0000
5.7970 1.5755 0.0000
-1.5422 0.0000 7.0305
ATOMIC_POSITIONS angstrom
Ga 0.8136 0.0000 2.3344
Ga 3.7954 0.0000 1.7095
Ga 6.2564 0.0000 5.3210
Ga 9.2382 0.0000 4.6961
O -0.5851 0.0000 5.4350
O 2.1098 0.0000 1.0769
O 3.4724 0.0000 3.6570
O 6.5794 0.0000 3.3735
O 7.9420 0.0000 5.9536
O 10.6369 0.0000 1.5955
! * total magnetic moment: 0.00 μB per atom
! * total DFT energy (no corrections): -5.930 eV/atom
! * space-group type: C2/m (12)


total magnetic moment of number 7 (GaO3)? 0.69 μB per atom